## BaIn2Si (PBE)

Data for an optimized crystal structure of BaIn2Si.

ΔE_f (raw): -0.023 eV/atom
crystal system: tetragonal
space group: I-42d (122)
size of the total moment: 0.00 μB per cell

Lattice parameters (Å, degrees): 5.4082 5.4082 10.2414 74.69 74.69 90.00
Fractional positions:
In1 0.8750 0.6998 0.7500
In2 0.3002 0.6250 0.2500
In3 0.4498 0.1250 0.2500
In4 0.3750 0.5502 0.7500
Si1 0.2500 0.7500 0.5000
Si2 0.5000 0.5000 0.0000
Ba1 0.7500 0.2500 0.5000
Ba2 0.0000 0.0000 0.0000